No. 1
VASP calculation (PBE-GGA) on an optimized crystal structure of SiSb2ClO.

Unit cell a=5.4365 b=3.5706 c=5.4365 alpha=90.00 beta=90.00 gamma=90.00
Element x y z (fractional)
Si 0.0000 0.5000 0.0000
Sb 0.0000 0.0000 0.5000
Cl 0.5000 0.5000 0.5000
Sb 0.5000 0.0000 0.0000
O 0.0000 0.0000 0.0000

Output
- uncorrected formation energy (eV per atom) = 0.209

No. 2
VASP calculation (PBE-GGA) on an optimized crystal structure of BaGaTcO6.

Unit cell a=5.2702 b=5.2702 c=5.6949 alpha=90.00 beta=90.00 gamma=60.00
Element x y z (fractional)
O 0.3929 0.5934 0.3063
O 0.5935 0.3929 0.6937
Ga 0.6666 0.6667 0.4998
O 0.0136 0.3930 0.3063
O 0.5933 0.0136 0.3062
O 0.0135 0.5935 0.6937
Tc 0.3333 0.3334 0.5001
Ba 0.0000 0.0000 0.0001
O 0.3929 0.0136 0.6937

Output
- uncorrected formation energy (eV per atom) = -1.801

No. 3
VASP calculation (PBE-GGA) on an optimized crystal structure of TaTiGe4.

Unit cell a=3.3841 b=4.9114 c=6.7854 alpha=110.11 beta=90.00 gamma=110.15
Element x y z (fractional)
Ge 0.1647 0.8293 0.8298
Ta 0.5000 0.5000 0.0000
Ti 0.5000 0.5000 0.5000
Ge 0.1605 0.8209 0.3317
Ge 0.8353 0.1707 0.1702
Ge 0.8395 0.1791 0.6683

Output
- uncorrected energy (eV per atom) = -6.586

No. 4
VASP calculation (PBE-GGA) on an optimized crystal structure of Mg2Bi2As.

Unit cell a=7.1719 b=7.1719 c=5.0733 alpha=90.00 beta=90.00 gamma=90.00
Element x y z (fractional)
Mg 0.8445 0.6555 0.0000
Mg 0.3445 0.8445 0.0000
Bi 0.6565 0.8435 0.5000
Mg 0.6555 0.1555 0.0000
Bi 0.8435 0.3435 0.5000
Bi 0.3435 0.1565 0.5000
As 0.5000 0.5000 0.0000
As 0.0000 0.0000 0.0000
Mg 0.1555 0.3445 0.0000
Bi 0.1565 0.6565 0.5000

Output
- excess energy over the best structure of this formula in the dataset (meV/atom) = 0

No. 5
VASP calculation (PBE-GGA) on an optimized crystal structure of Sn3Se3Br.

Unit cell a=9.3592 b=9.3592 c=7.8866 alpha=53.60 beta=53.60 gamma=60.00
Element x y z (fractional)
Se 0.8073 0.1179 0.7186
Sn 0.5880 0.9616 0.2267
Br 0.3136 0.3136 0.0592
Se 0.8821 0.6439 0.2814
Se 0.6439 0.1927 0.2814
Se 0.1927 0.8821 0.2814
Se 0.3561 0.8073 0.7186
Br 0.6864 0.6864 0.9408
Sn 0.4120 0.0384 0.7733
Sn 0.9616 0.2237 0.2267
Se 0.1179 0.3561 0.7186
Sn 0.0384 0.7763 0.7733
Sn 0.7763 0.4120 0.7733
Sn 0.2237 0.5880 0.2267

Output
- excess energy over the best structure of this formula in the dataset (meV/atom) = 0
- uncorrected formation energy (eV per atom) = -0.406

No. 6
VASP calculation (PBE-GGA) on an optimized crystal structure of PmY3Ho4.

Unit cell a=3.4614 b=6.6952 c=11.8900 alpha=106.34 beta=98.37 gamma=90.00
Element x y z (fractional)
Ho 0.1255 0.3699 0.2510
Pm 0.5000 0.0000 0.0000
Y 0.8731 0.1173 0.7463
Ho 0.8745 0.6301 0.7490
Y 0.0000 0.5000 0.0000
Ho 0.2602 0.7547 0.5204
Y 0.1269 0.8827 0.2537
Ho 0.7398 0.2453 0.4796

Output
- excess energy over the best structure of this formula in the dataset (meV/atom) = 169

| no. | calculated density (Mg/m³) | total moment (μB per formula unit) |
| --- | --- | --- |
| 1 | 5.08 | 0.000 |
| 2 | 4.86 | 0.000 |
| 3 | 8.75 | 0.000 |
| 4 | 6.89 | 0.000 |
| 5 | 5.13 | 0.000 |
| 6 | 6.81 | 0.000 |